No. 1
Cu2GeHRu: optimized geometry, GGA-PBE.

Cell lengths 3.763, 3.763, 3.909 Å; angles 90.00, 90.00, 90.00 degrees
Space group P4/mmm (No. 123)
Unique sites:
Cu 0.000 0.500 0.000 x2
Ge 0.000 0.000 0.500 x1
H 0.500 0.500 0.000 x1
Ru 0.500 0.500 0.500 x1

Properties
The value obtained for the density is 9.06 g/cm³. For the total energy, the calculation gives -5.027 eV/atom.

No. 2
Sc2CuGeH: optimized geometry, GGA-PBE.

Cell lengths 4.406, 4.406, 3.734 Å; angles 90.00, 90.00, 90.00 degrees
Space group P4/mmm (No. 123)
Unique sites:
Sc 0.000 0.500 0.000 x2
Cu 0.000 0.000 0.500 x1
Ge 0.500 0.500 0.500 x1
H 0.000 0.000 0.000 x1

Properties
The value obtained for the density is 5.20 g/cm³. For the total energy, the calculation gives -5.433 eV/atom.

No. 3
SrCu2GeH: optimized geometry, GGA-PBE.

Cell lengths 4.127, 11.123, 6.890 Å; angles 90.00, 90.00, 90.00 degrees
Space group Cmcm (No. 63)
Unique sites:
Sr 0.000 0.061 0.250 x4
Cu 0.000 0.339 0.064 x8
Ge 0.000 0.222 0.750 x4
H 0.000 0.500 0.000 x4

Properties
The value obtained for the density is 6.06 g/cm³. For the total energy, the calculation gives -3.877 eV/atom.

No. 4
Sr2CuGeH: optimized geometry, GGA-PBE.

Cell lengths 5.455, 5.455, 3.700 Å; angles 90.00, 90.00, 90.00 degrees
Space group P4/mmm (No. 123)
Unique sites:
Sr 0.000 0.500 0.000 x2
Cu 0.000 0.000 0.500 x1
Ge 0.500 0.500 0.500 x1
H 0.000 0.000 0.000 x1

Properties
The value obtained for the density is 4.71 g/cm³. For the total energy, the calculation gives -3.381 eV/atom.

No. 5
Cu2TcGeH: optimized geometry, GGA-PBE.

Cell lengths 3.770, 3.770, 3.932 Å; angles 90.00, 90.00, 90.00 degrees
Space group P4/mmm (No. 123)
Unique sites:
Cu 0.000 0.500 0.000 x2
Tc 0.000 0.000 0.500 x1
Ge 0.500 0.500 0.500 x1
H 0.000 0.000 0.000 x1

Properties
The value obtained for the density is 8.88 g/cm³. For the total energy, the calculation gives -5.212 eV/atom.

No. 6
V2CuGeH: optimized geometry, GGA-PBE.

Cell lengths 3.721, 3.721, 3.995 Å; angles 90.00, 90.00, 90.00 degrees
Space group P4/mmm (No. 123)
Unique sites:
V 0.000 0.500 0.000 x2
Cu 0.000 0.000 0.500 x1
Ge 0.500 0.500 0.500 x1
H 0.000 0.000 0.000 x1

Properties
The value obtained for the density is 7.18 g/cm³. For the total energy, the calculation gives -6.169 eV/atom.

Question: The lowest density belongs to which entry?
Answer: Sr2CuGeH